# 1
A plane-wave DFT calculation with PBE was carried out for an optimized crystal structure of Cs4RbSc3Br12.

Cell: 9.9104 9.9104 9.9104 Å, 109.47 109.47 109.47°
Closest atoms and distances in Å follow each position.
Positions (direct):
Cs (0.0000, 0.0000, 0.5000)  12 Br 4.05
Cs (0.0000, 0.5000, 0.0000)  12 Br 4.05
Cs (0.5000, 0.0000, 0.0000)  12 Br 4.05
Cs (0.5000, 0.5000, 0.5000)  12 Br 4.05
Rb (0.0000, 0.0000, 0.0000)  6 Br 3.12
Sc (0.0000, 0.5000, 0.5000)  6 Br 2.60-2.86
Sc (0.5000, 0.0000, 0.5000)  6 Br 2.60-2.86
Sc (0.5000, 0.5000, 0.0000)  6 Br 2.60-2.86
Br (0.0000, 0.2727, 0.2727)  1 Sc 2.60
Br (0.0000, 0.7273, 0.7273)  1 Sc 2.60
Br (0.2500, 0.5000, 0.7500)  2 Sc 2.86
Br (0.2500, 0.7500, 0.5000)  2 Sc 2.86
Br (0.2727, 0.0000, 0.2727)  1 Sc 2.60
Br (0.2727, 0.2727, 0.0000)  1 Sc 2.60
Br (0.5000, 0.2500, 0.7500)  2 Sc 2.86
Br (0.5000, 0.7500, 0.2500)  2 Sc 2.86
Br (0.7273, 0.0000, 0.7273)  1 Sc 2.60
Br (0.7273, 0.7273, 0.0000)  1 Sc 2.60
Br (0.7500, 0.2500, 0.5000)  2 Sc 2.86
Br (0.7500, 0.5000, 0.2500)  2 Sc 2.86

Properties
* uncorrected formation energy: -1.667 eV/atom
* spin magnetization: 2.0 μB/f.u.
* space-group type: Im-3m, No. 229

---

# 2
A plane-wave DFT calculation with PBE was carried out for an optimized crystal structure of BeIn2P.

Cell: 3.0814 3.3225 8.0635 Å, 90.00 90.00 90.00°
Closest atoms and distances in Å follow each position.
Positions (direct):
Be (0.0000, 0.0000, 0.0000)  4 P 2.29
In (0.0000, 0.0000, 0.6695)  1 Be 2.66
In (0.5000, 0.5000, 0.3716)  1 P 2.67
P (0.5000, 0.5000, 0.0400)  4 Be 2.29

Properties
* spin magnetization: 0.0 μB/f.u.
* space-group type: Pmm2, No. 25
* formation energy: 79 kJ/mol of formula units
* energy above the lowest structure with this stoichiometry: 101 meV per atom

---

> Which formula does entry 2 have?

BeIn2P